Model one:
! PBE-GGA Mg2AlSb2, relaxed; values from VASP
&SYSTEM
  ibrav = 0, nat = 5, ntyp = 3
/
ATOMIC_SPECIES
Mg 24.30 Mg.upf
Sb 121.76 Sb.upf
Al 26.98 Al.upf
ATOMIC_POSITIONS angstrom
Mg -4.4743 2.7074 3.2054
Mg -5.9537 1.3612 0.5694
Sb -7.3260 2.3855 2.8934
Sb -3.1020 1.6831 0.8814
Al 0.0000 0.0000 0.0000
CELL_PARAMETERS angstrom
-0.7163 3.8215 2.6042
-3.6752 1.1290 -2.6678
-6.0364 -0.8819 3.8384
! Space group: I4/mmm (139)

***

Model two:
! PBE-GGA Mg2AlSb2, relaxed; values from VASP
&SYSTEM
  ibrav = 0, nat = 10, ntyp = 3
/
ATOMIC_SPECIES
Mg 24.30 Mg.upf
Al 26.98 Al.upf
Sb 121.76 Sb.upf
ATOMIC_POSITIONS angstrom
Mg 7.3334 3.1045 1.7023
Mg 5.3532 7.3334 1.7023
Mg 1.1243 5.3532 1.7023
Mg 3.1045 1.1243 1.7023
Al 0.0000 0.0000 0.0000
Al 4.2288 4.2288 0.0000
Sb 1.4139 2.8149 0.0000
Sb 5.6427 1.4139 0.0000
Sb 2.8149 7.0438 0.0000
Sb 7.0438 5.6427 0.0000
CELL_PARAMETERS angstrom
8.4577 0.0000 0.0000
0.0000 8.4577 0.0000
0.0000 0.0000 3.4046
! Space group: P4/mbm (127)

***

Q: Which of them is the most stable? A: model two.

***

Model one:
! PBE-GGA MgAlSb2Te, relaxed; values from VASP
&SYSTEM
  ibrav = 0, nat = 5, ntyp = 4
/
ATOMIC_SPECIES
Sb 121.76 Sb.upf
Mg 24.30 Mg.upf
Al 26.98 Al.upf
Te 127.60 Te.upf
ATOMIC_POSITIONS angstrom
Sb 0.0000 2.6363 0.0000
Sb 2.6363 0.0000 0.0000
Mg 2.6363 2.6363 2.7236
Al 0.0000 0.0000 0.0000
Te 0.0000 0.0000 2.7236
CELL_PARAMETERS angstrom
5.2727 0.0000 0.0000
0.0000 5.2727 0.0000
0.0000 0.0000 5.4472
! Space group: P4/mmm (123)

***

Model two:
! PBE-GGA MgAlSb2Te, relaxed; values from VASP
&SYSTEM
  ibrav = 0, nat = 5, ntyp = 4
/
ATOMIC_SPECIES
Sb 121.76 Sb.upf
Mg 24.30 Mg.upf
Te 127.60 Te.upf
Al 26.98 Al.upf
ATOMIC_POSITIONS angstrom
Sb 0.0000 2.6895 0.0000
Sb 2.6895 0.0000 0.0000
Mg 0.0000 0.0000 0.0000
Te 0.0000 0.0000 2.7869
Al 2.6895 2.6895 2.7869
CELL_PARAMETERS angstrom
5.3789 0.0000 0.0000
0.0000 5.3789 0.0000
0.0000 0.0000 5.5739
! Space group: P4/mmm (123)

***

Q: Which of them is the most stable? A: model one.

***

Model one:
! PBE-GGA Mg16ScAl12, relaxed; values from VASP
&SYSTEM
  ibrav = 0, nat = 29, ntyp = 3
/
ATOMIC_SPECIES
Mg 24.30 Mg.upf
Al 26.98 Al.upf
Sc 44.96 Sc.upf
ATOMIC_POSITIONS angstrom
Mg -0.7464 1.4880 2.7216
Mg 0.9269 -2.4733 5.4364
Mg 1.7550 0.5318 4.9984
Mg 4.9966 -1.2504 -1.2293
Mg 2.4432 -3.6894 2.9606
Mg 4.3083 2.9708 0.8085
Mg 4.1791 2.1451 3.8032
Mg 2.6481 -4.5854 -0.0499
Mg 3.9956 -1.3485 4.1431
Mg 5.0334 -3.0940 1.2740
Mg -1.2774 -0.3021 5.1301
Mg 5.0636 0.0317 1.6447
Mg -0.6606 -4.0853 3.3038
Mg 0.0105 -3.1539 0.4807
Mg 2.8921 0.9381 -0.9664
Mg 1.3430 3.4190 3.8142
Al 6.7452 -3.5305 -1.3769
Al 0.7214 -1.2529 2.8390
Al 5.2626 -5.6359 -0.6324
Al 6.3752 1.3153 -0.5713
Al -1.7167 -2.2516 7.2002
Al 2.6400 -1.5429 0.8943
Al 3.5023 5.1598 4.5792
Al 5.3744 4.8768 2.6817
Al 2.2409 0.9049 2.0759
Al -1.3273 -4.6399 6.0472
Al -0.2148 2.3113 6.1083
Al 1.1561 -6.0960 2.0496
Sc 0.0000 0.0000 0.0000
CELL_PARAMETERS angstrom
-2.1294 4.2454 7.7647
0.0300 -8.9981 1.3714
8.2512 2.6764 -2.7571
! Space group: I-43m (217)

***

Model two:
! PBE-GGA Mg16ScAl12, relaxed; values from VASP
&SYSTEM
  ibrav = 0, nat = 29, ntyp = 3
/
ATOMIC_SPECIES
Mg 24.30 Mg.upf
Al 26.98 Al.upf
Sc 44.96 Sc.upf
ATOMIC_POSITIONS angstrom
Mg 1.4764 7.2454 2.3528
Mg 3.9825 9.4368 7.4162
Mg 1.9760 2.8007 4.8278
Mg 0.2090 4.4181 2.9393
Mg 5.0260 7.1238 2.6183
Mg 0.2153 8.0652 5.0828
Mg 6.3308 3.8205 2.3528
Mg 0.0409 8.6266 0.0437
Mg 7.1215 5.9845 4.4926
Mg 3.2748 4.6417 2.0874
Mg 7.5550 6.9162 7.4162
Mg 3.2500 8.7160 4.4926
Mg 4.0922 1.6784 2.9393
Mg 7.5261 2.9073 5.0828
Mg 8.1134 2.9313 0.0437
Mg 0.0075 0.0107 0.0182
Al 7.7416 6.2484 1.3719
Al 5.4822 10.1553 2.7678
Al 1.6606 2.3537 1.3309
Al 8.4794 9.6822 7.4202
Al 4.6839 6.6389 6.0476
Al 7.7291 8.5701 2.7678
Al 9.3782 5.0197 6.0352
Al 1.5843 10.5185 6.0352
Al 2.4099 5.8186 4.6953
Al 3.2907 9.3886 1.3719
Al 6.2783 11.2352 7.4202
Al 4.6736 4.2215 4.6953
Sc 6.3207 8.9589 5.3788
CELL_PARAMETERS angstrom
9.1550 0.0002 0.0119
-3.0697 8.6251 0.0119
2.9811 4.2253 7.4140
! Space group: Cm (8)

***

Q: Which of them is the most stable? A: model one.

***

Model one:
! PBE-GGA Mg2Sc2Al, relaxed; values from VASP
&SYSTEM
  ibrav = 0, nat = 5, ntyp = 3
/
ATOMIC_SPECIES
Al 26.98 Al.upf
Mg 24.30 Mg.upf
Sc 44.96 Sc.upf
ATOMIC_POSITIONS angstrom
Al 0.0000 0.0000 0.0000
Mg 0.0000 1.4477 4.8894
Mg 0.0000 4.0269 3.8067
Sc 1.5392 2.0136 1.9026
Sc 1.5392 3.4609 6.7934
CELL_PARAMETERS angstrom
3.0784 0.0000 0.0000
0.0000 4.5836 0.8685
0.0000 0.8909 7.8276
! Space group: Cmmm (65)

***

Model two:
! PBE-GGA Mg2Sc2Al, relaxed; values from VASP
&SYSTEM
  ibrav = 0, nat = 10, ntyp = 3
/
ATOMIC_SPECIES
Al 26.98 Al.upf
Sc 44.96 Sc.upf
Mg 24.30 Mg.upf
ATOMIC_POSITIONS angstrom
Al -3.5521 -2.6947 2.2640
Al 0.0000 0.0000 0.0000
Sc -0.8592 -4.8719 2.0896
Sc -3.2733 -1.7809 5.5972
Sc -0.4950 -1.3286 3.1643
Sc -3.6375 -5.3242 4.5225
Mg -3.7256 -5.2874 1.3901
Mg -1.4947 -2.2410 0.5098
Mg -5.6096 -3.1483 4.0182
Mg -3.3787 -0.1019 3.1379
CELL_PARAMETERS angstrom
-4.8032 1.2786 5.0303
-2.3011 -6.6680 -0.5023
2.9718 -1.2635 3.1588
! Space group: P4/mbm (127)

***

Model three:
! PBE-GGA Mg2Sc2Al, relaxed; values from VASP
&SYSTEM
  ibrav = 0, nat = 10, ntyp = 3
/
ATOMIC_SPECIES
Mg 24.30 Mg.upf
Sc 44.96 Sc.upf
Al 26.98 Al.upf
ATOMIC_POSITIONS angstrom
Mg -1.4058 -3.2141 0.4456
Mg -2.0460 -6.8459 -1.3131
Mg 2.0073 -4.6514 2.1713
Mg 1.3672 -8.2832 0.4125
Sc 1.4404 -2.5320 0.0200
Sc 0.6697 -7.7685 -2.4152
Sc 3.5009 -6.0991 0.0688
Sc -1.3908 -4.2014 -2.4640
Al 1.0551 -5.1503 -1.1976
Al 0.0000 0.0000 0.0000
CELL_PARAMETERS angstrom
-3.4047 -5.3609 -4.2207
5.5148 -4.9396 1.8254
-2.1488 -1.1967 3.2534
! Space group: P4/mbm (127)

***

Q: Which of them is the most stable? A: model one.

***

Model one:
! PBE-GGA Mg2ScAl2, relaxed; values from VASP
&SYSTEM
  ibrav = 0, nat = 10, ntyp = 3
/
ATOMIC_SPECIES
Mg 24.30 Mg.upf
Al 26.98 Al.upf
Sc 44.96 Sc.upf
ATOMIC_POSITIONS angstrom
Mg 5.3194 6.4983 1.6607
Mg 1.3802 5.3194 1.6607
Mg 6.4983 2.5590 1.6607
Mg 2.5590 1.3802 1.6607
Al 2.9704 6.9096 0.0000
Al 4.9081 0.9688 0.0000
Al 0.9688 2.9704 0.0000
Al 6.9096 4.9081 0.0000
Sc 3.9392 3.9392 0.0000
Sc 0.0000 0.0000 0.0000
CELL_PARAMETERS angstrom
7.8785 0.0000 0.0000
0.0000 7.8785 0.0000
0.0000 0.0000 3.3214
! Space group: P4/mbm (127)

***

Model two:
! PBE-GGA Mg2ScAl2, relaxed; values from VASP
&SYSTEM
  ibrav = 0, nat = 10, ntyp = 3
/
ATOMIC_SPECIES
Al 26.98 Al.upf
Mg 24.30 Mg.upf
Sc 44.96 Sc.upf
ATOMIC_POSITIONS angstrom
Al 1.4316 5.5298 1.4976
Al 2.6665 1.4316 1.4976
Al 5.5298 6.7647 1.4976
Al 6.7647 2.6665 1.4976
Mg 1.0134 3.0848 0.0000
Mg 7.1830 5.1116 0.0000
Mg 5.1116 1.0134 0.0000
Mg 3.0848 7.1830 0.0000
Sc 0.0000 0.0000 0.0000
Sc 4.0982 4.0982 0.0000
CELL_PARAMETERS angstrom
8.1964 0.0000 0.0000
0.0000 8.1964 0.0000
0.0000 0.0000 2.9953
! Space group: P4/mbm (127)

***

Q: Which of them is the most stable? A: model one.

***

Model one:
! PBE-GGA MgAl2Se, relaxed; values from VASP
&SYSTEM
  ibrav = 0, nat = 4, ntyp = 3
/
ATOMIC_SPECIES
Mg 24.30 Mg.upf
Se 78.96 Se.upf
Al 26.98 Al.upf
ATOMIC_POSITIONS angstrom
Mg 0.0000 0.0000 3.6001
Se 1.6754 1.6754 5.2353
Al 0.0000 0.0000 6.8306
Al 1.6754 1.6754 1.5832
CELL_PARAMETERS angstrom
3.3507 0.0000 0.0000
0.0000 3.3507 0.0000
0.0000 0.0000 6.8997
! Space group: P4mm (99)

***

Model two:
! PBE-GGA MgAl2Se, relaxed; values from VASP
&SYSTEM
  ibrav = 0, nat = 8, ntyp = 3
/
ATOMIC_SPECIES
Al 26.98 Al.upf
Mg 24.30 Mg.upf
Se 78.96 Se.upf
ATOMIC_POSITIONS angstrom
Al -3.4857 -2.1525 4.7471
Al -2.1870 -5.7664 5.5097
Al -0.4620 -5.8001 1.6065
Al -4.6678 -10.1256 8.1842
Mg -1.3183 -7.7928 3.5782
Mg -2.4941 -3.9828 2.6836
Se -4.0830 -4.1295 6.4456
Se 0.0000 0.0000 0.0000
CELL_PARAMETERS angstrom
-5.2589 -0.3196 5.5509
0.2706 -7.6461 -0.1838
-0.4130 -3.9566 4.6567
! Space group: I-42d (122)

***

Model three:
! PBE-GGA MgAl2Se, relaxed; values from VASP
&SYSTEM
  ibrav = 0, nat = 4, ntyp = 3
/
ATOMIC_SPECIES
Al 26.98 Al.upf
Mg 24.30 Mg.upf
Se 78.96 Se.upf
ATOMIC_POSITIONS angstrom
Al 0.1919 0.0428 0.0255
Al 11.0653 2.4671 1.4716
Mg 5.6286 1.2549 0.7486
Se 16.8859 3.7648 2.2457
CELL_PARAMETERS angstrom
8.0183 -0.0252 -0.0151
7.2481 3.4290 -0.0151
7.2481 1.6160 3.0244
! Space group: R-3m (166)

***

Q: Which of them is the most stable? A: model one.

***

Model one:
! PBE-GGA MgAl2Se, relaxed; values from VASP
&SYSTEM
  ibrav = 0, nat = 4, ntyp = 3
/
ATOMIC_SPECIES
Se 78.96 Se.upf
Mg 24.30 Mg.upf
Al 26.98 Al.upf
ATOMIC_POSITIONS angstrom
Se 3.2708 1.3975 1.6608
Mg 5.5217 2.3593 2.9196
Al 9.8952 4.2280 5.6225
Al 7.6930 3.2870 4.6511
CELL_PARAMETERS angstrom
4.5424 0.0161 0.0166
3.1516 3.2713 0.0166
2.8583 1.2213 5.9084
! Space group: Cm (8)

***

Model two:
! PBE-GGA MgAl2Se, relaxed; values from VASP
&SYSTEM
  ibrav = 0, nat = 4, ntyp = 3
/
ATOMIC_SPECIES
Al 26.98 Al.upf
Mg 24.30 Mg.upf
Se 78.96 Se.upf
ATOMIC_POSITIONS angstrom
Al 1.7077 1.7077 1.7077
Al 5.1232 5.1232 5.1232
Mg 0.0000 0.0000 0.0000
Se 3.4154 3.4154 3.4154
CELL_PARAMETERS angstrom
0.0000 3.4154 3.4154
3.4154 0.0000 3.4154
3.4154 3.4154 0.0000
! Space group: Fm-3m (225)

***

Model three:
! PBE-GGA MgAl2Se, relaxed; values from VASP
&SYSTEM
  ibrav = 0, nat = 4, ntyp = 3
/
ATOMIC_SPECIES
Al 26.98 Al.upf
Se 78.96 Se.upf
Mg 24.30 Mg.upf
ATOMIC_POSITIONS angstrom
Al 1.7533 1.1680 1.3564
Al 0.0000 3.0445 0.3202
Se 1.7533 4.9604 4.2060
Mg 0.0000 3.0685 3.2445
CELL_PARAMETERS angstrom
3.5066 0.0000 0.0000
0.0000 3.7820 -0.0316
0.0000 1.8575 6.1374
! Space group: Pm (6)

***

Model four:
! PBE-GGA MgAl2Se, relaxed; values from VASP
&SYSTEM
  ibrav = 0, nat = 4, ntyp = 3
/
ATOMIC_SPECIES
Mg 24.30 Mg.upf
Al 26.98 Al.upf
Se 78.96 Se.upf
ATOMIC_POSITIONS angstrom
Mg 3.8625 2.4732 0.0000
Al 1.1397 2.4728 1.4679
Al 0.0000 0.0000 0.0000
Se 2.7228 0.0004 1.4679
CELL_PARAMETERS angstrom
5.4456 0.0008 0.0000
2.2793 4.9457 0.0000
-3.8625 -2.4732 2.9359
! Space group: I-4m2 (119)

***

Q: Which of them is the most stable? A: model three.

***

Model one:
! PBE-GGA MgAl2Se, relaxed; values from VASP
&SYSTEM
  ibrav = 0, nat = 4, ntyp = 3
/
ATOMIC_SPECIES
Mg 24.30 Mg.upf
Al 26.98 Al.upf
Se 78.96 Se.upf
ATOMIC_POSITIONS angstrom
Mg -3.0048 -0.2432 -0.0582
Al 0.0000 0.0000 0.0000
Al -1.1737 -1.5554 -2.0623
Se -0.1385 -2.9879 0.3807
CELL_PARAMETERS angstrom
-4.0400 1.1892 -2.5012
1.6927 -4.3001 -1.6234
-1.9696 -1.6756 2.3848
! Space group: Cmmm (65)

***

Model two:
! PBE-GGA MgAl2Se, relaxed; values from VASP
&SYSTEM
  ibrav = 0, nat = 4, ntyp = 3
/
ATOMIC_SPECIES
Al 26.98 Al.upf
Mg 24.30 Mg.upf
Se 78.96 Se.upf
ATOMIC_POSITIONS angstrom
Al 0.0000 0.0000 3.6430
Al 0.0000 0.0000 6.6955
Mg 1.6654 1.6931 1.7231
Se 1.6654 1.6931 5.1692
CELL_PARAMETERS angstrom
3.3703 0.0160 0.0000
-0.0395 3.3701 0.0000
0.0000 0.0000 6.8923
! Space group: Cmmm (65)

***

Q: Which of them is the most stable? A: model two.

***

Model one:
! PBE-GGA MgAl2Se, relaxed; values from VASP
&SYSTEM
  ibrav = 0, nat = 4, ntyp = 3
/
ATOMIC_SPECIES
Se 78.96 Se.upf
Al 26.98 Al.upf
Mg 24.30 Mg.upf
ATOMIC_POSITIONS angstrom
Se 3.7662 -6.3146 -4.8945
Al 1.2554 -2.1049 -1.6315
Al 0.0000 0.0000 0.0000
Mg 2.5108 -4.2098 -3.2630
CELL_PARAMETERS angstrom
-0.6489 -3.0262 -3.6793
3.6610 -1.0266 -2.9426
2.0095 -4.3667 0.0958
! Space group: F-43m (216)

***

Model two:
! PBE-GGA MgAl2Se, relaxed; values from VASP
&SYSTEM
  ibrav = 0, nat = 4, ntyp = 3
/
ATOMIC_SPECIES
Se 78.96 Se.upf
Mg 24.30 Mg.upf
Al 26.98 Al.upf
ATOMIC_POSITIONS angstrom
Se 0.5631 1.7498 2.9248
Mg -1.9547 0.7890 2.7370
Al 0.4551 -1.6085 2.1221
Al 0.0000 0.0000 0.0000
CELL_PARAMETERS angstrom
-2.0627 -2.5694 1.9343
2.9728 -0.6477 2.3099
-1.8467 4.1473 3.5397
! Space group: P4/mmm (123)

***

Q: Which of them is the most stable? A: model two.

***

Model one:
! PBE-GGA MgAl2Se, relaxed; values from VASP
&SYSTEM
  ibrav = 0, nat = 4, ntyp = 3
/
ATOMIC_SPECIES
Al 26.98 Al.upf
Se 78.96 Se.upf
Mg 24.30 Mg.upf
ATOMIC_POSITIONS angstrom
Al 0.0000 0.0000 0.0000
Al -1.6789 -1.3348 2.3501
Se 1.0362 -0.1420 2.8134
Mg -1.4787 1.6430 2.0306
CELL_PARAMETERS angstrom
-4.1938 0.4502 1.5673
0.8359 -3.1198 3.1329
1.2365 2.8357 2.4939
! Space group: P4/mmm (123)

***

Model two:
! PBE-GGA MgAl2Se, relaxed; values from VASP
&SYSTEM
  ibrav = 0, nat = 4, ntyp = 3
/
ATOMIC_SPECIES
Al 26.98 Al.upf
Mg 24.30 Mg.upf
Se 78.96 Se.upf
ATOMIC_POSITIONS angstrom
Al 1.7092 -1.6679 -1.3615
Al 2.9366 -1.7327 -8.2098
Mg 1.5359 -0.9062 -4.2938
Se -1.0999 -2.1411 -2.5353
CELL_PARAMETERS angstrom
-1.3978 -1.3059 -5.1191
4.3844 -0.4563 -3.2302
-2.3845 -2.0426 4.4730
! Space group: Imm2 (44)

***

Model three:
! PBE-GGA MgAl2Se, relaxed; values from VASP
&SYSTEM
  ibrav = 0, nat = 4, ntyp = 3
/
ATOMIC_SPECIES
Al 26.98 Al.upf
Mg 24.30 Mg.upf
Se 78.96 Se.upf
ATOMIC_POSITIONS angstrom
Al 8.6943 4.8368 0.0000
Al 4.6247 2.5728 0.0000
Mg 1.7136 2.1450 1.3676
Se 3.0809 -0.3129 1.3488
CELL_PARAMETERS angstrom
5.8071 0.0119 -0.0189
3.0723 4.9278 0.0189
-4.0849 -3.1076 2.7164
! Space group: Immm (71)

***

Q: Which of them is the most stable? A: model three.